No. 1
First-principles (PBE) data for a geometry-optimized Ac2RuBr structure, as listed in Alexandria via LeMat-Bulk.

a = 3.6797 Å, b = 3.6797 Å, c = 8.6727 Å
α = 90.00°, β = 90.00°, γ = 90.00°
Element x y z (fractional)
1 Ac 0.0000 0.0000 0.2085
2 Ac 0.0000 0.0000 0.7915
3 Ru 0.5000 0.5000 0.0000
4 Br 0.5000 0.5000 0.5000

Summary:
Volume, Å³ per cell: 117
Energy relative to the elements, uncorrected, eV/atom: -0.676
N(E_F), states/eV per cell: 2.4
Mass density, g/cm3: 9.0
E above lowest polymorph, meV per atom: 140



No. 2
First-principles (PBE) data for a geometry-optimized Ca4Ag2HgAu structure, as listed in Alexandria via LeMat-Bulk.

a = 9.1099 Å, b = 9.1099 Å, c = 9.1099 Å
α = 33.40°, β = 33.40°, γ = 33.40°
Element x y z (fractional)
1 Ca 0.1220 0.1220 0.1220
2 Ca 0.3723 0.3723 0.3723
3 Ca 0.6277 0.6277 0.6277
4 Ca 0.8780 0.8780 0.8780
5 Ag 0.2479 0.2479 0.2479
6 Ag 0.7521 0.7521 0.7521
7 Hg 0.5000 0.5000 0.5000
8 Au 0.0000 0.0000 0.0000

Summary:
Volume, Å³ per cell: 204
N(E_F), states/eV per cell: 6.3
Formation enthalpy at 0 K, eV per atom: -0.49
Mass density, g/cm3: 6.3



Among the records above, which one has the highest mass density? Ac2RuBr